# 1
The following is a DFT calculation (PBE-GGA) of a relaxed NdAl2ZnPd2 crystal. Values from VASP.

Values from the calculation:
Final energy: -26.364 eV/cell

Geometry as Quantum ESPRESSO input:
```
&SYSTEM
  ibrav = 0, nat = 6, ntyp = 4
/
ATOMIC_SPECIES
Pd 106.42 Pd.upf
Al 26.98 Al.upf
Zn 65.41 Zn.upf
Nd 144.24 Nd.upf
ATOMIC_POSITIONS crystal
Pd 0.0000 0.5000 0.0000
Pd 0.5000 0.0000 0.0000
Al 0.5000 0.5000 0.2526
Zn 0.0000 0.0000 0.0000
Al 0.5000 0.5000 0.7474
Nd 0.0000 0.0000 0.5000
CELL_PARAMETERS angstrom
-3.7183 2.0659 1.8948
0.2442 -2.8969 3.6377
3.3777 3.6335 2.6668
```



# 2
The following is a DFT calculation (PBE-GGA) of a relaxed Nd2ZrAl4Pd3 crystal. Values from VASP.

Values from the calculation:
Final energy: -55.451 eV/cell

Geometry as Quantum ESPRESSO input:
```
&SYSTEM
  ibrav = 0, nat = 10, ntyp = 4
/
ATOMIC_SPECIES
Al 26.98 Al.upf
Pd 106.42 Pd.upf
Nd 144.24 Nd.upf
Zr 91.22 Zr.upf
ATOMIC_POSITIONS crystal
Al 0.5000 0.5000 0.0000
Al 0.0000 0.0000 0.0000
Pd 0.5000 0.0000 0.8783
Nd 0.5000 0.0000 0.2418
Al 0.0000 0.5000 0.3430
Pd 0.0000 0.0000 0.5000
Zr 0.5000 0.5000 0.5000
Nd 0.0000 0.5000 0.7582
Pd 0.0000 0.5000 0.1217
Al 0.5000 0.0000 0.6570
CELL_PARAMETERS angstrom
-1.4670 -4.0215 0.0724
1.3516 -0.5655 -4.0228
9.9199 -3.5498 3.8320
```



# 3
The following is a DFT calculation (PBE-GGA) of a relaxed Pm2NdAl crystal. Values from VASP.

Values from the calculation:
Relative energy among the computed polymorphs: 14.8 kJ/mol of atoms
Final energy: -18.072 eV/cell

Geometry as Quantum ESPRESSO input:
```
&SYSTEM
  ibrav = 0, nat = 4, ntyp = 3
/
ATOMIC_SPECIES
Nd 144.24 Nd.upf
Pm 145.00 Pm.upf
Al 26.98 Al.upf
ATOMIC_POSITIONS crystal
Nd 0.0000 0.0000 0.0000
Pm 0.7500 0.7500 0.7500
Al 0.5000 0.5000 0.5000
Pm 0.2500 0.2500 0.2500
CELL_PARAMETERS angstrom
-3.3956 2.7450 3.3342
-2.1482 -2.4990 4.3957
1.6526 1.4143 5.0448
```